Entry 1:
Computed, not measured: an optimized crystal structure of ScBeCd2 at the PBE-GGA level of DFT.

The value obtained for the formation enthalpy at 0 K is 0.0608 eV/atom. The calculated volume comes out at 18.2 Å³/atom. The calculation puts the polymorph energy (0 for the lowest one) at 0.050 eV/atom. The calculation puts the total energy at -2.911 eV per atom.

It has space group P4/mmm (No. 123), with a = 3.092 Å, b = 3.092 Å, c = 7.601 Å, α = 90.00°, β = 90.00° and γ = 90.00°. Symmetry generates all atoms from Sc at (0.000, 0.000, 0.000), Be at (0.000, 0.000, 0.500) and Cd at (0.500, 0.500, 0.290).

Entry 2:
Computed, not measured: an optimized crystal structure of ScAl2BO6 at the PBE-GGA level of DFT.

The calculated volume comes out at 10.4 Å³/atom. The calculation puts the total energy at -7.930 eV per atom.

It has space group C2/c (No. 15), with a = 10.082 Å, b = 8.124 Å, c = 5.645 Å, α = 90.00°, β = 116.28° and γ = 90.00°. Symmetry generates all atoms from Sc at (0.000, 0.179, 0.250), Al at (0.198, 0.432, 0.164), B at (0.000, 0.175, 0.750), O at (0.087, 0.265, 0.993), O at (0.104, 0.072, 0.690) and O at (0.157, 0.404, 0.437).